Density functional theory data (PBE-GGA) for a relaxed CdAgSb crystal.

a b c (Å): 4.7986 4.7986 4.7986
angles (deg): 60.00 60.00 60.00
With the nearest neighbours (Å) after each atom.
Positions (direct):
Ag  0.7500  0.7500  0.7500  4 Sb 2.94
Sb  0.0000  0.0000  0.0000  4 Ag 2.94, 4 Cd 2.94
Cd  0.2500  0.2500  0.2500  4 Sb 2.94

Output
- calculated total energy (eV per atom) = -2.5897
- space group = F-43m (216)
- crystal system = cubic